No. 1
Computed, not measured: a relaxed structure of MnInNiPb2 at the GGA-PBE level of DFT.

It has space group P4/mmm (No. 123), with a = 5.138 Å, b = 5.138 Å, c = 4.960 Å, α = 90.00°, β = 90.00° and γ = 90.00°. The inequivalent atoms are Mn at (0.000, 0.000, 0.000), In at (0.500, 0.500, 0.000), Ni at (0.500, 0.500, 0.500) and Pb at (0.000, 0.500, 0.500).

The value obtained for the density of states at the Fermi level is 0.58 states/eV/atom. Its formation energy is 0.468 eV/atom.



No. 2
Computed, not measured: a relaxed structure of MnInNiPt at the GGA-PBE level of DFT.

It has space group F-43m (No. 216), with a = 6.275 Å, b = 6.275 Å, c = 6.275 Å, α = 90.00°, β = 90.00° and γ = 90.00°. The inequivalent atoms are Mn at (0.000, 0.000, 0.000), In at (0.000, 0.000, 0.500), Ni at (0.250, 0.250, 0.750) and Pt at (0.250, 0.250, 0.250).

The value obtained for the density of states at the Fermi level is 0.75 states/eV/atom. Its formation energy is -0.238 eV/atom.



No. 3
Computed, not measured: a relaxed structure of PuMnInNi at the GGA-PBE level of DFT.

It has space group F-43m (No. 216), with a = 6.586 Å, b = 6.586 Å, c = 6.586 Å, α = 90.00°, β = 90.00° and γ = 90.00°. The inequivalent atoms are Pu at (0.000, 0.000, 0.000), Mn at (0.250, 0.250, 0.750), In at (0.000, 0.000, 0.500) and Ni at (0.250, 0.250, 0.250).

The value obtained for the density of states at the Fermi level is 2.36 states/eV/atom. Its formation energy is -0.032 eV/atom.



No. 4
Computed, not measured: a relaxed structure of RbMnInNi2 at the GGA-PBE level of DFT.

It has space group P4/mmm (No. 123), with a = 4.713 Å, b = 4.713 Å, c = 5.253 Å, α = 90.00°, β = 90.00° and γ = 90.00°. The inequivalent atoms are Rb at (0.000, 0.000, 0.000), Mn at (0.000, 0.000, 0.500), In at (0.500, 0.500, 0.500) and Ni at (0.000, 0.500, 0.000).

The value obtained for the density of states at the Fermi level is 0.98 states/eV/atom. Its formation energy is 1.938 eV/atom.